1.
VASP calculation (PBE-GGA) on YInF after structural relaxation.

Lattice parameters (Å, degrees): 3.886 3.886 8.135 90.00 90.00 90.00
Positions (direct):
Y: 0.250 0.250 0.182
Y: 0.750 0.750 0.818
In: 0.250 0.250 0.587
In: 0.750 0.750 0.413
F: 0.250 0.750 0.000
F: 0.750 0.250 0.000

E_tot in eV/f.u.: -16.8
Uncorrected formation energy in meV per atom: -1897
V in Å³/cell: 122.9

2.
VASP calculation (PBE-GGA) on SrDyTlHg after structural relaxation.

Lattice parameters (Å, degrees): 7.792 7.792 7.792 90.00 90.00 90.00
Positions (direct):
Sr: 0.000 0.000 0.000
Sr: 0.000 0.500 0.500
Sr: 0.500 0.000 0.500
Sr: 0.500 0.500 0.000
Dy: 0.000 0.000 0.500
Dy: 0.000 0.500 0.000
Dy: 0.500 0.000 0.000
Dy: 0.500 0.500 0.500
Tl: 0.250 0.250 0.750
Tl: 0.250 0.750 0.250
Tl: 0.750 0.250 0.250
Tl: 0.750 0.750 0.750
Hg: 0.250 0.250 0.250
Hg: 0.250 0.750 0.750
Hg: 0.750 0.250 0.750
Hg: 0.750 0.750 0.250

E_tot in eV/f.u.: -10.6
Energy above the most stable polymorph in this dataset in meV/atom: 46
V in Å³/cell: 473.1

3.
VASP calculation (PBE-GGA) on LaTa2Pt after structural relaxation.

Lattice parameters (Å, degrees): 3.310 4.843 5.126 90.00 90.00 90.00
Positions (direct):
La: 0.000 0.000 0.000
Ta: 0.000 0.500 0.500
Ta: 0.500 0.000 0.500
Pt: 0.500 0.500 0.000

E_tot in eV/f.u.: -34.4
Energy above the most stable polymorph in this dataset in meV/atom: 240
V in Å³/cell: 82.2